Density functional theory data (PBE) for PdSeIN2 after structural relaxation.

Cell lengths 4.106, 4.106, 5.709 Å; angles 90.00, 90.00, 90.00 degrees
Positions (direct):
Pd1 0.000 0.000 0.000
Se1 0.000 0.000 0.500
I1 0.500 0.500 0.500
N1 0.000 0.500 0.000
N2 0.500 0.000 0.000

Calculated values
The energy relative to the elements, uncorrected comes out at 1.42 eV/atom. Its relative energy among the computed polymorphs is 0.000 eV/atom. Its magnetic moment is 3.94 Bohr magnetons per cell. For the energy, the calculation gives -3.9594 eV/atom. The symmetry is P4/mmm.